Computed, not measured: a relaxed structure of TbEr7Tm3 at the PBE level of DFT.

The structure belongs to space group C2/m (No. 12); the cell edges are 12.398, 11.026 and 5.695 Å and the angles 90.00°, 117.27° and 90.00°. The inequivalent atoms are Tb at (0.000, 0.000, 0.000), Er at (0.000, 0.000, 0.500), Er at (0.201, 0.301, 0.201), Er at (0.207, 0.500, 0.706), Tm at (0.000, 0.294, 0.500) and Tm at (0.000, 0.500, 0.000).

The calculation puts the formation energy at 0.280 eV per atom. For the total energy, the calculation gives -4.264 eV per atom. The polymorph energy (0 for the lowest one) is 1.38 eV per formula unit. The spin magnetization comes out at 0.031 μB per atom.